1.
Entry from OQMD via LeMat-Bulk: an optimized crystal structure of HfZr2In3Cu2Ni (GGA-PBE).

## Properties
DFT total energy: -5.641 eV/atom
SG: Amm2
Calculated volume: 166 Å³ per cell
M_tot: 0.0 μB/f.u.

a b c (Å): 3.9991 6.9044 6.9044
angles (deg): 119.60 90.00 90.00
Fractional coordinates of all 9 atoms:
Hf: 0.0000 0.0000 0.0000
Zr: 0.0000 0.1859 0.5937
Zr: 0.0000 0.5937 0.1859
In: 0.5000 0.3396 0.3396
In: 0.5000 0.5913 0.8496
In: 0.5000 0.8496 0.5913
Cu: 0.5000 0.2559 0.9277
Cu: 0.5000 0.9277 0.2559
Ni: 0.0000 0.5996 0.5996

***

2.
Entry from OQMD via LeMat-Bulk: an optimized crystal structure of HfZrIn2Cu2Pt2 (GGA-PBE).

## Properties
DFT total energy: -6.014 eV/atom
SG: P-4m2
Calculated volume: 140 Å³ per cell
M_tot: 0.0 μB/f.u.

a b c (Å): 4.6164 4.6164 6.5505
angles (deg): 90.00 90.00 90.00
Fractional coordinates of all 8 atoms:
Hf: 0.0000 0.0000 0.0000
Zr: 0.5000 0.5000 0.5000
In: 0.0000 0.0000 0.5000
In: 0.5000 0.5000 0.0000
Cu: 0.0000 0.5000 0.7535
Cu: 0.5000 0.0000 0.2465
Pt: 0.0000 0.5000 0.2445
Pt: 0.5000 0.0000 0.7555

***

3.
Entry from OQMD via LeMat-Bulk: an optimized crystal structure of HfInCuS3 (GGA-PBE).

## Properties
DFT total energy: -5.735 eV/atom
SG: P2_1/m
Calculated volume: 261 Å³ per cell
M_tot: 0.0 μB/f.u.

a b c (Å): 7.8685 3.7012 9.6871
angles (deg): 90.00 112.09 90.00
Fractional coordinates of all 12 atoms:
Hf: 0.1956 0.2500 0.1617
Hf: 0.8044 0.7500 0.8383
In: 0.2248 0.7500 0.6988
In: 0.7752 0.2500 0.3012
Cu: 0.4244 0.7500 0.3970
Cu: 0.5756 0.2500 0.6030
S: 0.0488 0.2500 0.8710
S: 0.2597 0.2500 0.4345
S: 0.4144 0.7500 0.1548
S: 0.5856 0.2500 0.8452
S: 0.7403 0.7500 0.5655
S: 0.9512 0.7500 0.1290

***

4.
Entry from OQMD via LeMat-Bulk: an optimized crystal structure of HfInCuS3 (GGA-PBE).

## Properties
DFT total energy: -5.605 eV/atom
SG: C2/m
Calculated volume: 244 Å³ per cell
M_tot: 0.0 μB/f.u.

a b c (Å): 8.4365 8.4365 8.2837
angles (deg): 99.03 99.03 24.82
Fractional coordinates of all 12 atoms:
Hf: 0.1627 0.1627 0.0791
Hf: 0.8373 0.8373 0.9209
In: 0.1305 0.1305 0.5690
In: 0.8695 0.8695 0.4310
Cu: 0.4626 0.4626 0.7840
Cu: 0.5374 0.5374 0.2160
S: 0.0000 0.0000 0.0000
S: 0.3226 0.3226 0.1322
S: 0.3240 0.3240 0.7065
S: 0.5000 0.5000 0.5000
S: 0.6760 0.6760 0.2935
S: 0.6774 0.6774 0.8678

***

5.
Entry from OQMD via LeMat-Bulk: an optimized crystal structure of Hf3In2Cu2Se8 (GGA-PBE).

## Properties
DFT total energy: -5.637 eV/atom
SG: C2/m
Calculated volume: 368 Å³ per cell
M_tot: 0.0 μB/f.u.

a b c (Å): 7.6112 7.6112 14.3818
angles (deg): 113.24 113.24 28.91
Fractional coordinates of all 15 atoms:
Hf: 0.0000 0.0000 0.0000
Hf: 0.1572 0.1572 0.3788
Hf: 0.8428 0.8428 0.6212
In: 0.1631 0.1631 0.7976
In: 0.8369 0.8369 0.2024
Cu: 0.4557 0.4557 0.8029
Cu: 0.5443 0.5443 0.1971
Se: 0.1485 0.1485 0.1891
Se: 0.2011 0.2011 0.5810
Se: 0.3923 0.3923 0.0428
Se: 0.4798 0.4798 0.6460
Se: 0.5202 0.5202 0.3540
Se: 0.6077 0.6077 0.9572
Se: 0.7989 0.7989 0.4190
Se: 0.8515 0.8515 0.8109

***

6.
Entry from OQMD via LeMat-Bulk: an optimized crystal structure of HfInCuTe2Se (GGA-PBE).

## Properties
DFT total energy: -4.955 eV/atom
SG: Cmcm
Calculated volume: 308 Å³ per cell
M_tot: 0.0 μB/f.u.

a b c (Å): 7.7849 7.7849 10.2446
angles (deg): 90.00 90.00 150.30
Fractional coordinates of all 12 atoms:
Hf: 0.0000 0.0000 0.0000
Hf: 0.0000 0.0000 0.5000
In: 0.2626 0.7374 0.7500
In: 0.7374 0.2626 0.2500
Cu: 0.4695 0.5305 0.2500
Cu: 0.5305 0.4695 0.7500
Te: 0.3630 0.6370 0.0500
Te: 0.3630 0.6370 0.4500
Te: 0.6370 0.3630 0.5500
Te: 0.6370 0.3630 0.9500
Se: 0.0646 0.9354 0.2500
Se: 0.9354 0.0646 0.7500

***

7.
Entry from OQMD via LeMat-Bulk: an optimized crystal structure of TbHfIn2Cu4 (GGA-PBE).

## Properties
DFT total energy: -4.608 eV/atom
SG: P-6m2
Calculated volume: 142 Å³ per cell
M_tot: 0.0 μB/f.u.

a b c (Å): 4.4683 4.4683 8.2058
angles (deg): 90.00 90.00 120.00
Fractional coordinates of all 8 atoms:
Tb: 0.0000 0.0000 0.0000
Hf: 0.6667 0.3333 0.5000
In: 0.3333 0.6667 0.2732
In: 0.3333 0.6667 0.7268
Cu: 0.0000 0.0000 0.3523
Cu: 0.0000 0.0000 0.6477
Cu: 0.6667 0.3333 0.1629
Cu: 0.6667 0.3333 0.8371

***

8.
Entry from OQMD via LeMat-Bulk: an optimized crystal structure of HfInCuTc (GGA-PBE).

## Properties
ΔE to the lowest computed polymorph: 257 meV per atom
SG: F-43m
Calculated volume: 70 Å³ per cell
M_tot: 0.0 μB/f.u.

a b c (Å): 4.6167 4.6167 4.6167
angles (deg): 60.00 60.00 60.00
Fractional coordinates of all 4 atoms:
Hf: 0.0000 0.0000 0.0000
In: 0.2500 0.2500 0.2500
Cu: 0.5000 0.5000 0.5000
Tc: 0.7500 0.7500 0.7500

***

Q: What is the M_tot in the sixth record?
A: 0.0 μB/f.u.

***

What did the first record say?
Entry from OQMD via LeMat-Bulk: an optimized crystal structure of HfZr2In3Cu2Ni (GGA-PBE).

## Properties
DFT total energy: -5.641 eV/atom
SG: Amm2
Calculated volume: 166 Å³ per cell
M_tot: 0.0 μB/f.u.

a b c (Å): 3.9991 6.9044 6.9044
angles (deg): 119.60 90.00 90.00
Fractional coordinates of all 9 atoms:
Hf: 0.0000 0.0000 0.0000
Zr: 0.0000 0.1859 0.5937
Zr: 0.0000 0.5937 0.1859
In: 0.5000 0.3396 0.3396
In: 0.5000 0.5913 0.8496
In: 0.5000 0.8496 0.5913
Cu: 0.5000 0.2559 0.9277
Cu: 0.5000 0.9277 0.2559
Ni: 0.0000 0.5996 0.5996